# 1
Density functional theory data (PBE-GGA) for crystalline P2RhBr at its relaxed geometry.

Energy above the most stable polymorph in this dataset in meV/atom: 891
Uncorrected formation energy in eV per atom: 0.688

abc: 3.108 4.337 4.783
angles: 90.00 90.00 90.00
Space group Pmmm (No. 47)
Asymmetric unit:
P1 0.000 0.000 0.000 [1 per cell]
P2 0.500 0.500 0.000 [1 per cell]
Rh1 0.000 0.500 0.500 [1 per cell]
Br1 0.500 0.000 0.500 [1 per cell]

***

# 2
Density functional theory data (PBE-GGA) for crystalline SrHgOs2 at its relaxed geometry.

Formation enthalpy at 0 K in eV/atom: 1.078

abc: 4.103 4.103 4.644
angles: 90.00 90.00 90.00
Space group P4/mmm (No. 123)
Asymmetric unit:
Sr1 0.000 0.000 0.000 [1 per cell]
Hg1 0.500 0.500 0.000 [1 per cell]
Os1 0.000 0.500 0.500 [2 per cell]

***

# 3
Density functional theory data (PBE-GGA) for crystalline LaMg2Ir2 at its relaxed geometry.

Energy above the most stable polymorph in this dataset in meV/atom: 0
Formation enthalpy at 0 K in eV/atom: -0.489

abc: 4.210 4.210 11.854
angles: 90.00 90.00 90.00
Space group I4/mmm (No. 139)
Asymmetric unit:
La1 0.000 0.000 0.000 [2 per cell]
Mg1 0.000 0.500 0.250 [4 per cell]
Ir1 0.000 0.000 0.394 [4 per cell]

***

# 4
Density functional theory data (PBE-GGA) for crystalline PrHo2ErSb4 at its relaxed geometry.

Uncorrected formation energy in eV per atom: -1.115

abc: 6.243 6.243 12.480
angles: 90.00 90.00 90.00
Space group I4/mmm (No. 139)
Asymmetric unit:
Pr1 0.000 0.000 0.000 [2 per cell]
Ho1 0.000 0.500 0.250 [4 per cell]
Er1 0.000 0.000 0.500 [2 per cell]
Sb1 0.000 0.000 0.255 [4 per cell]
Sb2 0.000 0.500 0.000 [4 per cell]

***

# 5
Density functional theory data (PBE-GGA) for crystalline Be2I2N at its relaxed geometry.

Energy above the most stable polymorph in this dataset in meV/atom: 0
Uncorrected formation energy in eV per atom: 1.215

abc: 7.333 7.333 3.844
angles: 90.00 90.00 90.00
Space group P4/mbm (No. 127)
Asymmetric unit:
Be1 0.099 0.401 0.000 [4 per cell]
I1 0.243 0.257 0.500 [4 per cell]
N1 0.000 0.000 0.500 [2 per cell]

***

# 6
Density functional theory data (PBE-GGA) for crystalline KAg2As at its relaxed geometry.

Formation enthalpy at 0 K in eV/atom: 0.104

abc: 3.089 5.590 11.111
angles: 90.00 90.00 90.00
Space group Immm (No. 71)
Asymmetric unit:
K1 0.000 0.000 0.000 [2 per cell]
Ag1 0.000 0.500 0.206 [4 per cell]
As1 0.000 0.000 0.500 [2 per cell]

***

# 7
Density functional theory data (PBE-GGA) for crystalline Pu3TcH6 at its relaxed geometry.

E in eV/atom: -7.57

abc: 8.9319 8.9319 10.2116
angles: 90.00 90.00 120.00
Space group R-3 (No. 148, hexagonal axes)
Asymmetric unit:
Pu1 0.0137 0.7622 0.2411 [18 per cell]
Tc1 0.0000 0.0000 0.0000 [3 per cell]
Tc2 0.0000 0.0000 0.5000 [3 per cell]
H1 0.0042 0.8529 0.8855 [18 per cell]
H2 0.0881 0.8816 0.5787 [18 per cell]

***

# 8
Density functional theory data (PBE-GGA) for crystalline BaSmCdIn at its relaxed geometry.

Formation enthalpy at 0 K in eV/atom: -0.276

abc: 8.092 8.092 8.092
angles: 90.00 90.00 90.00
Space group F-43m (No. 216)
Asymmetric unit:
Ba1 0.000 0.000 0.000 [4 per cell]
Sm1 0.000 0.000 0.500 [4 per cell]
Cd1 0.250 0.250 0.250 [4 per cell]
In1 0.250 0.250 0.750 [4 per cell]

***

# 9
Density functional theory data (PBE-GGA) for crystalline Li2MgZn3 at its relaxed geometry.

Formation enthalpy at 0 K in eV/atom: -0.152

abc: 3.119 3.119 9.713
angles: 90.00 90.00 90.00
Space group P4/mmm (No. 123)
Asymmetric unit:
Li1 0.000 0.000 0.156 [2 per cell]
Mg1 0.000 0.000 0.500 [1 per cell]
Zn1 0.500 0.500 0.000 [1 per cell]
Zn2 0.500 0.500 0.307 [2 per cell]

***

# 10
Density functional theory data (PBE-GGA) for crystalline CuAsO3 at its relaxed geometry.

Uncorrected formation energy in eV per atom: -0.398

abc: 3.688 3.688 3.688
angles: 90.00 90.00 90.00
Space group Pm-3m (No. 221)
Asymmetric unit:
Cu1 0.000 0.000 0.000 [1 per cell]
As1 0.500 0.500 0.500 [1 per cell]
O1 0.000 0.500 0.500 [3 per cell]

***

# 11
Density functional theory data (PBE-GGA) for crystalline Li2TlAgH at its relaxed geometry.

Energy above the most stable polymorph in this dataset in meV/atom: 74

abc: 4.128 4.128 4.831
angles: 90.00 90.00 90.00
Space group P4/mmm (No. 123)
Asymmetric unit:
Li1 0.000 0.500 0.000 [2 per cell]
Tl1 0.000 0.000 0.500 [1 per cell]
Ag1 0.500 0.500 0.500 [1 per cell]
H1 0.000 0.000 0.000 [1 per cell]

***

# 12
Density functional theory data (PBE-GGA) for crystalline Li2CoAsS at its relaxed geometry.

Uncorrected formation energy in eV per atom: 0.562

abc: 4.509 4.509 5.160
angles: 90.00 90.00 90.00
Space group P4/mmm (No. 123)
Asymmetric unit:
Li1 0.000 0.500 0.000 [2 per cell]
Co1 0.000 0.000 0.500 [1 per cell]
As1 0.500 0.500 0.000 [1 per cell]
S1 0.500 0.500 0.500 [1 per cell]

***

# 13
Density functional theory data (PBE-GGA) for crystalline ZnSeBr2 at its relaxed geometry.

Energy above the most stable polymorph in this dataset in meV/atom: 425
Uncorrected formation energy in eV per atom: -0.012

abc: 3.439 7.279 11.278
angles: 90.00 90.00 90.00
Space group Cmmm (No. 65)
Asymmetric unit:
Zn1 0.000 0.000 0.000 [2 per cell]
Se1 0.000 0.000 0.500 [2 per cell]
Br1 0.000 0.500 0.157 [4 per cell]

***

# 14
Density functional theory data (PBE-GGA) for crystalline Pu2MgZnO8 at its relaxed geometry.

Uncorrected formation energy in eV per atom: -2.200

abc: 5.169 5.169 10.421
angles: 90.00 90.00 90.00
Space group I-4 (No. 82)
Asymmetric unit:
Pu1 0.000 0.000 0.000 [2 per cell]
Pu2 0.000 0.500 0.250 [2 per cell]
Mg1 0.000 0.000 0.500 [2 per cell]
Zn1 0.000 0.500 0.750 [2 per cell]
O1 0.202 0.721 0.406 [8 per cell]
O2 0.204 0.234 0.845 [8 per cell]

***

Here are the calculated size of the total moment numbers, same order: 0.00; 0.00; 0.00; 0.00; 0.27; 0.00; 18.78; 0.00; 0.00; 0.23; 0.00; 2.43; 1.40; 4.00 (μB per formula unit).